This record from the Alexandria database describes crystalline SrTeOsI2 at its relaxed geometry. The functional is GGA-PBE.

Calculated values
distance to the lowest polymorph of the same formula	0	meV/atom
crystal system	tetragonal
uncorrected formation energy	-0.09	eV/atom
DOS(E_F)	0.627	states/eV/atom
space group	P4/mmm

a = 5.5683 Å, b = 5.5683 Å, c = 5.2073 Å
α = 90.00°, β = 90.00°, γ = 90.00°
With the nearest neighbours (Å) after each atom.
Element x y z (fractional)
Sr 0.0000 0.0000 0.0000  8 I 3.81, 4 Te 3.94
Te 0.5000 0.5000 0.0000  2 Os 2.60
Os 0.5000 0.5000 0.5000  2 Te 2.60, 4 I 2.78
I 0.0000 0.5000 0.5000  2 Os 2.78
I 0.5000 0.0000 0.5000  2 Os 2.78